1.
First-principles (PBE) data for crystalline SrAlTc2 at its relaxed geometry, as listed in the Alexandria database.

Lattice parameters (Å, degrees): 2.746 5.310 10.272 90.00 90.00 90.00
Space group Immm (No. 71)
Symmetry-distinct sites (fractional):
Sr (0.000, 0.000, 0.000)
Al (0.000, 0.000, 0.500)
Tc (0.000, 0.500, 0.212)

Uncorrected energy ... -47.44 eV for the cell shown
Energy of formation ... 0.609 eV per atom

---

2.
First-principles (PBE) data for crystalline Ac5Pm4Pr at its relaxed geometry, as listed in the Alexandria database.

Lattice parameters (Å, degrees): 3.891 3.891 26.136 90.00 90.00 90.00
Space group P4/mmm (No. 123)
Symmetry-distinct sites (fractional):
Ac (0.000, 0.000, 0.000)
Ac (0.000, 0.000, 0.199)
Ac (0.000, 0.000, 0.398)
Pm (0.500, 0.500, 0.099)
Pm (0.500, 0.500, 0.299)
Pr (0.500, 0.500, 0.500)

Uncorrected energy ... -44.01 eV for the cell shown
Energy of formation ... 0.031 eV per atom